# 1
A relaxed Cr2As3 crystal, computed with PBE.

Values from the calculation:
- Symmetry: Fdd2 (43)

a = 7.7045 Å, b = 7.2338 Å, c = 5.1442 Å
α = 74.87°, β = 65.00°, γ = 40.13°
Site moments in Bohr magnetons follow the coordinates.
Element x y z (fractional)
1 Cr 0.3033 0.5834 0.2396  2.77
2 Cr 0.8738 0.2396 0.5834  2.77
3 Cr 0.6666 0.9467 0.3762  2.77
4 Cr 0.0104 0.3762 0.9467  2.77
5 As 0.4155 0.3561 0.7242  -0.12
6 As 0.5041 0.7242 0.3561  -0.12
7 As 0.8939 0.8345 0.7459  -0.12
8 As 0.5258 0.7459 0.8345  -0.12
9 As 0.9033 0.0967 0.0967  -0.16
10 As 0.1533 0.3467 0.3467  -0.16


# 2
A relaxed CrAs crystal, computed with PBE.

Values from the calculation:
- Symmetry: Pnma (62)

a = 3.5863 Å, b = 5.6719 Å, c = 6.2819 Å
α = 90.00°, β = 90.00°, γ = 90.00°
Site moments in Bohr magnetons follow the coordinates.
Element x y z (fractional)
1 As 0.2500 0.2158 0.4191  -0.15
2 As 0.7500 0.2842 0.9191  -0.15
3 As 0.7500 0.7842 0.5809  -0.15
4 As 0.2500 0.7158 0.0809  -0.15
5 Cr 0.2500 0.0016 0.7825  2.50
6 Cr 0.7500 0.4984 0.2825  2.50
7 Cr 0.7500 0.9984 0.2175  2.50
8 Cr 0.2500 0.5016 0.7175  2.50


# 3
A relaxed CrAs crystal, computed with PBE.

Values from the calculation:
- Symmetry: F-43m (216)

a = 3.9964 Å, b = 3.9964 Å, c = 3.9964 Å
α = 60.00°, β = 60.00°, γ = 60.00°
Site moments in Bohr magnetons follow the coordinates.
Element x y z (fractional)
1 As 0.0000 0.0000 0.0000  -0.24
2 Cr 0.7500 0.7500 0.7500  3.07


# 4
A relaxed Cr2As crystal, computed with PBE.

Values from the calculation:
- Symmetry: Cmcm (63)

a = 6.8033 Å, b = 6.8033 Å, c = 3.7970 Å
α = 90.00°, β = 90.00°, γ = 153.76°
Site moments in Bohr magnetons follow the coordinates.
Element x y z (fractional)
1 Cr 0.4069 0.5931 0.2500  0.48
2 Cr 0.5931 0.4069 0.7500  0.48
3 Cr 0.7519 0.2481 0.2500  -0.16
4 Cr 0.2481 0.7519 0.7500  -0.16
5 As 0.0997 0.9003 0.2500  -0.02
6 As 0.9003 0.0997 0.7500  -0.02


# 5
A relaxed CrAs4 crystal, computed with PBE.

Values from the calculation:
- Symmetry: Pm-3m (221)

a = 4.6532 Å, b = 4.6532 Å, c = 4.6532 Å
α = 90.00°, β = 90.00°, γ = 90.00°
Site moments in Bohr magnetons follow the coordinates.
Element x y z (fractional)
1 Cr 0.5000 0.5000 0.5000  0.89
2 As 0.0000 0.0000 0.0000  0.18
3 As 0.5000 0.0000 0.5000  -0.08
4 As 0.0000 0.5000 0.5000  -0.08
5 As 0.5000 0.5000 0.0000  -0.08


# 6
A relaxed CrAs4 crystal, computed with PBE.

Values from the calculation:
- Symmetry: I4/m (87)

a = 5.0199 Å, b = 5.0199 Å, c = 5.0199 Å
α = 102.04°, β = 102.04°, γ = 125.65°
Site moments in Bohr magnetons follow the coordinates.
Element x y z (fractional)
1 Cr 0.0000 0.0000 0.0000  2.98
2 As 0.1779 0.6280 0.8059  -0.07
3 As 0.6280 0.8221 0.4500  -0.07
4 As 0.8221 0.3720 0.1941  -0.07
5 As 0.3720 0.1779 0.5500  -0.07


# 7
A relaxed CrAs crystal, computed with PBE.

Values from the calculation:
- Symmetry: R-3m (166)

a = 10.3564 Å, b = 10.3564 Å, c = 10.3564 Å
α = 15.68°, β = 15.68°, γ = 15.68°
Element x y z (fractional)
1 As 0.9680 0.9680 0.9680
2 As 0.7820 0.7820 0.7820
3 Cr 0.5120 0.5120 0.5120
4 Cr 0.2380 0.2380 0.2380


# 8
A relaxed CrAs3 crystal, computed with PBE.

Values from the calculation:
- Symmetry: Pmm2 (25)
- Energy relative to the lowest polymorph listed for this composition: 90 meV per atom

a = 3.6986 Å, b = 5.3103 Å, c = 3.9037 Å
α = 90.00°, β = 90.00°, γ = 90.00°
Site moments in Bohr magnetons follow the coordinates.
Element x y z (fractional)
1 As 0.0000 0.0000 0.1741  -0.10
2 As 0.5000 0.0000 0.6007  0.02
3 As 0.5000 0.5000 0.7037  -0.18
4 Cr 0.0000 0.5000 0.1881  3.17


# 9
A relaxed CrAs crystal, computed with PBE.

Values from the calculation:
- Symmetry: Pm-3n (223)

a = 6.9154 Å, b = 6.9154 Å, c = 6.9154 Å
α = 90.00°, β = 90.00°, γ = 90.00°
Site moments in Bohr magnetons follow the coordinates.
Element x y z (fractional)
1 Cr 0.2500 0.5000 0.0000  3.08
2 Cr 0.7500 0.5000 0.0000  3.08
3 Cr 0.5000 0.0000 0.2500  3.08
4 Cr 0.5000 0.0000 0.7500  3.08
5 Cr 0.0000 0.2500 0.5000  3.08
6 Cr 0.0000 0.7500 0.5000  3.08
7 As 0.2500 0.0000 0.5000  -0.24
8 As 0.7500 0.0000 0.5000  -0.24
9 As 0.0000 0.5000 0.2500  -0.24
10 As 0.0000 0.5000 0.7500  -0.24
11 As 0.5000 0.2500 0.0000  -0.24
12 As 0.5000 0.7500 0.0000  -0.24


# 10
A relaxed CrAs3 crystal, computed with PBE.

Values from the calculation:
- Symmetry: Cmcm (63)
- Energy relative to the lowest polymorph listed for this composition: 77 meV per atom

a = 7.5172 Å, b = 7.5172 Å, c = 3.6660 Å
α = 90.00°, β = 90.00°, γ = 118.25°
Element x y z (fractional)
1 Cr 0.5570 0.4430 0.7500
2 Cr 0.4430 0.5570 0.2500
3 As 0.2744 0.7256 0.7500
4 As 0.7256 0.2744 0.2500
5 As 0.6303 0.8189 0.7500
6 As 0.3697 0.1811 0.2500
7 As 0.8189 0.6303 0.2500
8 As 0.1811 0.3697 0.7500


# 11
A relaxed CrAs crystal, computed with PBE.

Values from the calculation:
- Symmetry: P6_3/mmc (194)

a = 3.6689 Å, b = 3.6689 Å, c = 5.9420 Å
α = 90.00°, β = 90.00°, γ = 120.00°
Site moments in Bohr magnetons follow the coordinates.
Element x y z (fractional)
1 As 0.0000 0.0000 0.0000  -0.14
2 As 0.0000 0.0000 0.5000  -0.14
3 Cr 0.3333 0.6667 0.2500  3.06
4 Cr 0.6667 0.3333 0.7500  3.06


# 12
A relaxed Cr2As3 crystal, computed with PBE.

Values from the calculation:
- Symmetry: P-3m1 (164)

a = 4.3739 Å, b = 4.3739 Å, c = 4.8198 Å
α = 90.00°, β = 90.00°, γ = 120.00°
Site moments in Bohr magnetons follow the coordinates.
Element x y z (fractional)
1 Cr 0.6667 0.3333 0.1269  1.20
2 Cr 0.3333 0.6667 0.8731  1.20
3 As 0.0000 0.0000 0.0000  -0.05
4 As 0.6667 0.3333 0.6362  -0.08
5 As 0.3333 0.6667 0.3638  -0.08


# 13
A relaxed Cr2As crystal, computed with PBE.

Values from the calculation:
- Symmetry: P6_3/mmc (194)

a = 4.8073 Å, b = 4.8073 Å, c = 8.0019 Å
α = 90.00°, β = 90.00°, γ = 120.00°
Element x y z (fractional)
1 Cr 0.0000 0.0000 0.0000
2 Cr 0.0000 0.0000 0.5000
3 Cr 0.8250 0.6500 0.2500
4 Cr 0.1750 0.3500 0.7500
5 Cr 0.3500 0.1750 0.2500
6 Cr 0.8250 0.1750 0.2500
7 Cr 0.1750 0.8250 0.7500
8 Cr 0.6500 0.8250 0.7500
9 As 0.3333 0.6667 0.0670
10 As 0.6667 0.3333 0.5670
11 As 0.6667 0.3333 0.9330
12 As 0.3333 0.6667 0.4330


# 14
A relaxed CrAs3 crystal, computed with PBE.

Values from the calculation:
- Symmetry: P4/mmm (123)
- Energy relative to the lowest polymorph listed for this composition: 241 meV per atom

a = 2.7456 Å, b = 2.7456 Å, c = 11.1610 Å
α = 90.00°, β = 90.00°, γ = 89.91°
Site moments in Bohr magnetons follow the coordinates.
Element x y z (fractional)
1 As 0.0000 0.0000 0.0905  -0.03
2 As 0.5000 0.5000 0.7500  -0.02
3 As 0.0000 0.0000 0.4095  -0.03
4 Cr 0.5000 0.5000 0.2500  1.80


# 15
A relaxed CrAs crystal, computed with PBE.

Values from the calculation:
- Symmetry: P-1 (2)

a = 3.1417 Å, b = 4.4646 Å, c = 4.6215 Å
α = 93.51°, β = 109.05°, γ = 102.62°
Element x y z (fractional)
1 Cr 0.5350 0.7822 0.3934
2 Cr 0.4650 0.2178 0.6066
3 As 0.1916 0.7025 0.8060
4 As 0.8084 0.2975 0.1940


# 16
A relaxed Cr2As crystal, computed with PBE.

Values from the calculation:
- Symmetry: Cm (8)

a = 4.5940 Å, b = 4.5940 Å, c = 6.0928 Å
α = 78.67°, β = 78.67°, γ = 39.23°
Site moments in Bohr magnetons follow the coordinates.
Element x y z (fractional)
1 Cr 0.6697 0.6697 0.6814  0.62
2 Cr 0.5729 0.5729 0.2682  1.05
3 Cr 0.9566 0.9566 0.5829  -1.32
4 Cr 0.3222 0.3222 0.9545  1.46
5 As 0.0330 0.0330 0.9705  -0.06
6 As 0.2789 0.2789 0.3758  -0.04


# 17
A relaxed CrAs crystal, computed with PBE.

Values from the calculation:
- Symmetry: P4/m (83)

a = 8.4456 Å, b = 8.4456 Å, c = 4.6139 Å
α = 90.00°, β = 90.00°, γ = 90.00°
Site moments in Bohr magnetons follow the coordinates.
Element x y z (fractional)
1 Cr 0.8849 0.6204 0.5000  2.17
2 Cr 0.1151 0.3796 0.5000  2.17
3 Cr 0.3796 0.8849 0.5000  2.17
4 Cr 0.6204 0.1151 0.5000  2.17
5 Cr 0.9084 0.4205 0.0000  0.12
6 Cr 0.0916 0.5795 0.0000  0.12
7 Cr 0.5795 0.9084 0.0000  0.12
8 Cr 0.4205 0.0916 0.0000  0.12
9 As 0.8219 0.3408 0.5000  -0.08
10 As 0.1781 0.6592 0.5000  -0.08
11 As 0.6592 0.8219 0.5000  -0.08
12 As 0.3408 0.1781 0.5000  -0.08
13 As 0.8289 0.7040 0.0000  -0.08
14 As 0.1711 0.2960 0.0000  -0.08
15 As 0.2960 0.8289 0.0000  -0.08
16 As 0.7040 0.1711 0.0000  -0.08


# 18
A relaxed CrAs crystal, computed with PBE.

Values from the calculation:
- Symmetry: Cmmm (65)

a = 3.0036 Å, b = 3.0036 Å, c = 3.3768 Å
α = 90.00°, β = 90.00°, γ = 101.83°
Site moments in Bohr magnetons follow the coordinates.
Element x y z (fractional)
1 As 0.0000 0.0000 0.0000  -0.10
2 Cr 0.5000 0.5000 0.5000  2.29


# 19
A relaxed CrAs3 crystal, computed with PBE.

Values from the calculation:
- Symmetry: I4/mmm (139)
- Energy relative to the lowest polymorph listed for this composition: 314 meV per atom

a = 10.4922 Å, b = 10.4922 Å, c = 10.4922 Å
α = 158.93°, β = 158.93°, γ = 29.97°
Site moments in Bohr magnetons follow the coordinates.
Element x y z (fractional)
1 Cr 0.6565 0.6565 0.0000  3.25
2 Cr 0.3435 0.3435 0.0000  3.25
3 As 0.0000 0.5000 0.5000  0.05
4 As 0.5000 0.0000 0.5000  0.05
5 As 0.7500 0.2500 0.5000  -0.10
6 As 0.2500 0.7500 0.5000  -0.10
7 As 0.8882 0.8882 0.0000  -0.11
8 As 0.1118 0.1118 0.0000  -0.11


# 20
A relaxed CrAs5 crystal, computed with PBE.

Values from the calculation:
- Symmetry: Amm2 (38)
- Energy relative to the lowest polymorph listed for this composition: 32 meV per atom

a = 7.5571 Å, b = 7.5571 Å, c = 4.8658 Å
α = 90.00°, β = 90.00°, γ = 153.97°
Site moments in Bohr magnetons follow the coordinates.
Element x y z (fractional)
1 Cr 0.0867 0.9133 0.5000  2.41
2 As 0.0262 0.9738 0.0000  -0.06
3 As 0.3828 0.6172 0.0000  -0.01
4 As 0.6620 0.3380 0.0000  -0.05
5 As 0.4561 0.5439 0.5000  -0.08
6 As 0.7194 0.2806 0.5000  -0.07


Number 1: raw total energy -65.046 eV per cell, energy of formation from the pure elements 13.0 kJ per mole of atoms. Number 2: raw total energy -58.725 eV per cell, energy of formation from the pure elements -19.7 kJ per mole of atoms. Number 3: raw total energy -13.824 eV per cell, energy of formation from the pure elements 21.6 kJ per mole of atoms. Number 4: raw total energy -47.427 eV per cell, energy of formation from the pure elements 5.9 kJ per mole of atoms. Number 5: raw total energy -25.757 eV per cell, energy of formation from the pure elements 47.6 kJ per mole of atoms. Number 6: raw total energy -26.377 eV per cell, energy of formation from the pure elements 35.6 kJ per mole of atoms. Number 7: raw total energy -27.982 eV per cell, energy of formation from the pure elements 13.6 kJ per mole of atoms. Number 8: raw total energy -23.240 eV per cell, energy of formation from the pure elements 8.0 kJ per mole of atoms. Number 9: raw total energy -82.027 eV per cell, energy of formation from the pure elements 29.0 kJ per mole of atoms. Number 10: raw total energy -46.579 eV per cell, energy of formation from the pure elements 6.8 kJ per mole of atoms. Number 11: raw total energy -28.020 eV per cell, energy of formation from the pure elements 12.7 kJ per mole of atoms. Number 12: raw total energy -32.476 eV per cell, energy of formation from the pure elements 13.9 kJ per mole of atoms. Number 13: raw total energy -91.258 eV per cell, energy of formation from the pure elements 34.8 kJ per mole of atoms. Number 14: raw total energy -22.636 eV per cell, energy of formation from the pure elements 22.6 kJ per mole of atoms. Number 15: raw total energy -28.396 eV per cell, energy of formation from the pure elements 3.6 kJ per mole of atoms. Number 16: raw total energy -47.711 eV per cell, energy of formation from the pure elements 1.3 kJ per mole of atoms. Number 17: raw total energy -112.567 eV per cell, energy of formation from the pure elements 9.7 kJ per mole of atoms. Number 18: raw total energy -13.923 eV per cell, energy of formation from the pure elements 16.9 kJ per mole of atoms. Number 19: raw total energy -44.688 eV per cell, energy of formation from the pure elements 29.6 kJ per mole of atoms. Number 20: raw total energy -31.602 eV per cell, energy of formation from the pure elements 20.4 kJ per mole of atoms.